[1]
A PBEsol-optimized structure of LaAlCd2. Source: the Alexandria database, functional meta-GGA SCAN.

Lattice parameters (Å, degrees): 3.2562 3.7862 7.5213 90.00 90.00 90.00
Last column: nearest neighbours and their distance in Å.
Fractional positions:
1 La 0.0000 0.0000 0.0000  2 La 3.26, 4 Al 3.28, 5 Cd 3.35-3.62
2 Al 0.5000 0.5000 0.2820  5 Cd 2.91-3.16, 2 Al 3.26
3 Cd 0.0000 0.0000 0.4813  4 Al 2.91, 6 Cd 3.00-3.26
4 Cd 0.5000 0.5000 0.7027  6 Cd 3.00-3.26, 1 Al 3.16, 4 La 3.35

Output
Total energy, eV per atom: -28.140
ΔE_f, meV/atom: -218

=====

[2]
A PBEsol-optimized structure of NiPW2. Source: the Alexandria database, functional meta-GGA SCAN.

Lattice parameters (Å, degrees): 8.5280 3.0492 4.3057 90.00 100.69 90.00
Last column: nearest neighbours and their distance in Å.
Fractional positions:
1 Ni 0.0000 0.0000 0.0000  6 W 2.58-2.65, 4 P 2.64
2 Ni 0.5000 0.5000 0.0000  6 W 2.58-2.65, 4 P 2.64
3 P 0.0000 0.5000 0.5000  6 W 2.54-2.71, 4 Ni 2.64
4 P 0.5000 0.0000 0.5000  6 W 2.54-2.71, 4 Ni 2.64
5 W 0.2455 0.5000 0.2445  3 P 2.54-2.71, 3 Ni 2.58-2.65, 4 W 2.61-2.67
6 W 0.2545 0.0000 0.7555  3 P 2.54-2.71, 3 Ni 2.58-2.65, 4 W 2.61-2.67
7 W 0.7455 0.0000 0.2445  3 P 2.54-2.71, 3 Ni 2.58-2.65, 4 W 2.61-2.67
8 W 0.7545 0.5000 0.7555  3 P 2.54-2.71, 3 Ni 2.58-2.65, 4 W 2.61-2.67

Output
Total energy, eV per atom: -41.222
ΔE_f, meV/atom: 265

=====

[3]
A PBEsol-optimized structure of NaCd2BW. Source: the Alexandria database, functional meta-GGA SCAN.

Lattice parameters (Å, degrees): 5.3034 5.3034 4.1484 90.00 90.00 90.00
Last column: nearest neighbours and their distance in Å.
Fractional positions:
1 Na 0.0000 0.0000 0.0000  8 Cd 3.37, 4 B 3.75
2 Cd 0.0000 0.5000 0.5000  2 W 2.65
3 Cd 0.5000 0.0000 0.5000  2 W 2.65
4 B 0.5000 0.5000 0.0000  2 W 2.07
5 W 0.5000 0.5000 0.5000  2 B 2.07

Output
Total energy, eV per atom: -27.513
ΔE_f, meV/atom: 919

=====

Q: Which formula does entry 3 have?
A: NaCd2BW